# 1
VASP calculation (PBE) on a relaxed structure of Ce2GdPu.

```
4
Lattice="0.0000 3.8343 3.8343 3.8343 0.0000 3.8343 3.8343 3.8343 0.0000" Properties=species:S:1:pos:R:3 pbc="T T T"
Ce 1.9172 1.9172 1.9172
Ce 5.7515 5.7515 5.7515
Gd 0.0000 0.0000 0.0000
Pu 3.8343 3.8343 3.8343
```

* total magnetization: 0.41 μB per cell
* volume: 112.74 Å³ per cell
* energy of formation: 0.188 eV per atom
* uncorrected energy: -39.5 eV per cell
* space-group type: Fm-3m (225)

# 2
VASP calculation (PBE) on a relaxed structure of CeGdPu2.

```
4
Lattice="4.8998 0.0000 0.0000 0.0000 4.8998 0.0000 0.0000 0.0000 4.7282" Properties=species:S:1:pos:R:3 pbc="T T T"
Ce 0.0000 0.0000 0.0000
Gd 2.4499 2.4499 0.0000
Pu 0.0000 2.4499 2.3641
Pu 2.4499 0.0000 2.3641
```

* total magnetization: 19.88 μB per cell
* volume: 113.52 Å³ per cell
* energy of formation: 0.198 eV per atom
* uncorrected energy: -47.9 eV per cell
* space-group type: P4/mmm (123)

# 3
VASP calculation (PBE) on a relaxed structure of CeGdPuRu.

```
4
Lattice="0.0000 3.5691 3.5691 3.5691 0.0000 3.5691 3.5691 3.5691 0.0000" Properties=species:S:1:pos:R:3 pbc="T T T"
Ce 0.0000 0.0000 0.0000
Gd 3.5691 3.5691 3.5691
Pu 5.3536 5.3536 5.3536
Ru 1.7845 1.7845 1.7845
```

* total magnetization: 0.02 μB per cell
* volume: 90.93 Å³ per cell
* energy of formation: 0.059 eV per atom
* uncorrected energy: -43.4 eV per cell
* space-group type: F-43m (216)

# 4
VASP calculation (PBE) on a relaxed structure of CeGdPuSc.

```
4
Lattice="0.0000 3.8203 3.8203 3.8203 0.0000 3.8203 3.8203 3.8203 0.0000" Properties=species:S:1:pos:R:3 pbc="T T T"
Ce 0.0000 0.0000 0.0000
Gd 3.8203 3.8203 3.8203
Pu 5.7305 5.7305 5.7305
Sc 1.9102 1.9102 1.9102
```

* total magnetization: 0.11 μB per cell
* volume: 111.51 Å³ per cell
* energy of formation: 0.172 eV per atom
* uncorrected energy: -40.0 eV per cell
* space-group type: F-43m (216)

# 5
VASP calculation (PBE) on a relaxed structure of CeSmGdPu.

```
4
Lattice="0.0000 3.9712 3.9712 3.9712 0.0000 3.9712 3.9712 3.9712 0.0000" Properties=species:S:1:pos:R:3 pbc="T T T"
Ce 0.0000 0.0000 0.0000
Sm 5.9568 5.9568 5.9568
Gd 1.9856 1.9856 1.9856
Pu 3.9712 3.9712 3.9712
```

* total magnetization: 15.60 μB per cell
* volume: 125.26 Å³ per cell
* energy of formation: 0.273 eV per atom
* uncorrected energy: -38.0 eV per cell
* space-group type: F-43m (216)

# 6
VASP calculation (PBE) on a relaxed structure of CeGdPuTh.

```
4
Lattice="0.0000 3.8884 3.8884 3.8884 0.0000 3.8884 3.8884 3.8884 0.0000" Properties=species:S:1:pos:R:3 pbc="T T T"
Ce 0.0000 0.0000 0.0000
Gd 5.8327 5.8327 5.8327
Pu 1.9442 1.9442 1.9442
Th 3.8884 3.8884 3.8884
```

* total magnetization: 0.19 μB per cell
* volume: 117.59 Å³ per cell
* energy of formation: 0.186 eV per atom
* uncorrected energy: -41.0 eV per cell
* space-group type: F-43m (216)

# 7
VASP calculation (PBE) on a relaxed structure of CeGdPuZn.

```
4
Lattice="0.0000 3.6021 3.6021 3.6021 0.0000 3.6021 3.6021 3.6021 0.0000" Properties=species:S:1:pos:R:3 pbc="T T T"
Ce 0.0000 0.0000 0.0000
Gd 5.4032 5.4032 5.4032
Pu 1.8011 1.8011 1.8011
Zn 3.6021 3.6021 3.6021
```

* total magnetization: 0.32 μB per cell
* volume: 93.48 Å³ per cell
* energy of formation: 0.063 eV per atom
* uncorrected energy: -35.4 eV per cell
* space-group type: F-43m (216)

# 8
VASP calculation (PBE) on a relaxed structure of CeGdRe.

```
3
Lattice="-1.7077 1.7077 6.6968 1.7077 -1.7077 6.6968 1.7077 1.7077 -6.6968" Properties=species:S:1:pos:R:3 pbc="T T T"
Ce 0.0000 0.0000 0.0000
Gd 0.0000 0.0000 9.9860
Re 0.0000 0.0000 5.0829
```

* total magnetization: 7.36 μB per cell
* volume: 78.12 Å³ per cell
* energy of formation: 0.105 eV per atom
* uncorrected energy: -32.1 eV per cell
* space-group type: I4mm (107)

> What is the total magnetization in the second record?

19.88 μB per cell